1.
Compound: RbCuAsAu
Source: OQMD
Functional: PBE-GGA
Structure: relaxed

Cell lengths 5.0201, 5.0201, 5.0201 Å; angles 60.00, 60.00, 60.00 degrees
With the nearest neighbours (Å) after each atom.
Element x y z (fractional)
Cu  0.2500  0.2500  0.2500  4 Rb 3.07, 4 As 3.07
Au  0.7500  0.7500  0.7500  4 Rb 3.07, 4 As 3.07
Rb  0.5000  0.5000  0.5000  4 Cu 3.07, 4 Au 3.07
As  0.0000  0.0000  0.0000  4 Au 3.07, 4 Cu 3.07

2.
Compound: RbCuAsAu
Source: OQMD
Functional: PBE-GGA
Structure: relaxed

Cell lengths 4.9768, 4.9768, 4.9768 Å; angles 60.00, 60.00, 60.00 degrees
With the nearest neighbours (Å) after each atom.
Element x y z (fractional)
Rb  0.2500  0.2500  0.2500  4 Cu 3.05, 4 As 3.05
As  0.5000  0.5000  0.5000  4 Au 3.05, 4 Rb 3.05
Cu  0.0000  0.0000  0.0000  4 Rb 3.05, 4 Au 3.05
Au  0.7500  0.7500  0.7500  4 As 3.05, 4 Cu 3.05

Stability check: which of them is least stable? 2.

1.
Compound: ScCuAsAu
Source: OQMD
Functional: PBE-GGA
Structure: relaxed

Cell lengths 4.6086, 4.6086, 4.6086 Å; angles 60.00, 60.00, 60.00 degrees
With the nearest neighbours (Å) after each atom.
Element x y z (fractional)
Sc  0.2500  0.2500  0.2500  4 Au 2.82, 4 As 2.82
As  0.0000  0.0000  0.0000  4 Sc 2.82, 4 Cu 2.82
Cu  0.7500  0.7500  0.7500  4 Au 2.82, 4 As 2.82
Au  0.5000  0.5000  0.5000  4 Cu 2.82, 4 Sc 2.82

2.
Compound: ScCuAsAu
Source: OQMD
Functional: PBE-GGA
Structure: relaxed

Cell lengths 4.6324, 4.6324, 4.6324 Å; angles 60.00, 60.00, 60.00 degrees
With the nearest neighbours (Å) after each atom.
Element x y z (fractional)
As  0.0000  0.0000  0.0000  4 Au 2.84, 4 Cu 2.84
Cu  0.7500  0.7500  0.7500  4 As 2.84, 4 Sc 2.84
Au  0.2500  0.2500  0.2500  4 As 2.84, 4 Sc 2.84
Sc  0.5000  0.5000  0.5000  4 Cu 2.84, 4 Au 2.84

Stability check: which of them is least stable? 2.

1.
Compound: TaCuAsAu
Source: OQMD
Functional: PBE-GGA
Structure: relaxed

Cell lengths 4.5934, 4.5934, 4.5934 Å; angles 60.00, 60.00, 60.00 degrees
With the nearest neighbours (Å) after each atom.
Element x y z (fractional)
As  0.0000  0.0000  0.0000  4 Au 2.81, 4 Cu 2.81
Ta  0.5000  0.5000  0.5000  4 Au 2.81, 4 Cu 2.81
Cu  0.7500  0.7500  0.7500  4 As 2.81, 4 Ta 2.81
Au  0.2500  0.2500  0.2500  4 Ta 2.81, 4 As 2.81

2.
Compound: TaCuAsAu
Source: OQMD
Functional: PBE-GGA
Structure: relaxed

Cell lengths 4.5274, 4.5274, 4.5274 Å; angles 60.00, 60.00, 60.00 degrees
With the nearest neighbours (Å) after each atom.
Element x y z (fractional)
Au  0.5000  0.5000  0.5000  4 Ta 2.77, 4 Cu 2.77
Ta  0.2500  0.2500  0.2500  4 Au 2.77, 4 As 2.77
Cu  0.7500  0.7500  0.7500  4 As 2.77, 4 Au 2.77
As  0.0000  0.0000  0.0000  4 Cu 2.77, 4 Ta 2.77

Stability check: which of them is least stable? 1.

1.
Compound: ZnCuAsAu
Source: OQMD
Functional: PBE-GGA
Structure: relaxed

Cell lengths 4.5103, 4.5103, 4.5103 Å; angles 60.00, 60.00, 60.00 degrees
With the nearest neighbours (Å) after each atom.
Element x y z (fractional)
Au  0.5000  0.5000  0.5000  4 Zn 2.76, 4 Cu 2.76
Zn  0.2500  0.2500  0.2500  4 Au 2.76, 4 As 2.76
As  0.0000  0.0000  0.0000  4 Cu 2.76, 4 Zn 2.76
Cu  0.7500  0.7500  0.7500  4 Au 2.76, 4 As 2.76

2.
Compound: ZnCuAsAu
Source: OQMD
Functional: PBE-GGA
Structure: relaxed

Cell lengths 4.5385, 4.5385, 4.5385 Å; angles 60.00, 60.00, 60.00 degrees
With the nearest neighbours (Å) after each atom.
Element x y z (fractional)
Cu  0.7500  0.7500  0.7500  4 As 2.78, 4 Zn 2.78
Au  0.2500  0.2500  0.2500  4 As 2.78, 4 Zn 2.78
As  0.0000  0.0000  0.0000  4 Cu 2.78, 4 Au 2.78
Zn  0.5000  0.5000  0.5000  4 Cu 2.78, 4 Au 2.78

Stability check: which of them is least stable? 2.

1.
Compound: FeGeAsAu
Source: OQMD
Functional: PBE-GGA
Structure: relaxed

Cell lengths 4.5733, 4.5733, 4.5733 Å; angles 60.00, 60.00, 60.00 degrees
With the nearest neighbours (Å) after each atom.
Element x y z (fractional)
Ge  0.0000  0.0000  0.0000  4 Au 2.80, 4 Fe 2.80
Fe  0.2500  0.2500  0.2500  4 As 2.80, 4 Ge 2.80
As  0.5000  0.5000  0.5000  4 Au 2.80, 4 Fe 2.80
Au  0.7500  0.7500  0.7500  4 As 2.80, 4 Ge 2.80

2.
Compound: FeGeAsAu
Source: OQMD
Functional: PBE-GGA
Structure: relaxed

Cell lengths 4.5939, 4.5939, 4.5939 Å; angles 60.00, 60.00, 60.00 degrees
With the nearest neighbours (Å) after each atom.
Element x y z (fractional)
Fe  0.5000  0.5000  0.5000  4 As 2.81, 4 Au 2.81
Au  0.7500  0.7500  0.7500  4 Ge 2.81, 4 Fe 2.81
As  0.2500  0.2500  0.2500  4 Fe 2.81, 4 Ge 2.81
Ge  0.0000  0.0000  0.0000  4 Au 2.81, 4 As 2.81

Stability check: which of them is least stable? 2.

1.
Compound: LiFeAsAu
Source: OQMD
Functional: PBE-GGA
Structure: relaxed

Cell lengths 4.3705, 4.3705, 4.3705 Å; angles 60.00, 60.00, 60.00 degrees
With the nearest neighbours (Å) after each atom.
Element x y z (fractional)
Au  0.2500  0.2500  0.2500  4 As 2.68, 4 Li 2.68
Li  0.5000  0.5000  0.5000  4 Fe 2.68, 4 Au 2.68
As  0.0000  0.0000  0.0000  4 Fe 2.68, 4 Au 2.68
Fe  0.7500  0.7500  0.7500  4 As 2.68, 4 Li 2.68

2.
Compound: LiFeAsAu
Source: OQMD
Functional: PBE-GGA
Structure: relaxed

Cell lengths 4.3710, 4.3710, 4.3710 Å; angles 60.00, 60.00, 60.00 degrees
With the nearest neighbours (Å) after each atom.
Element x y z (fractional)
Li  0.2500  0.2500  0.2500  4 Au 2.68, 4 As 2.68
Au  0.5000  0.5000  0.5000  4 Li 2.68, 4 Fe 2.68
As  0.0000  0.0000  0.0000  4 Fe 2.68, 4 Li 2.68
Fe  0.7500  0.7500  0.7500  4 As 2.68, 4 Au 2.68

Stability check: which of them is least stable? 1.

1.
Compound: LuFeAsAu
Source: OQMD
Functional: PBE-GGA
Structure: relaxed

Cell lengths 4.7065, 4.7065, 4.7065 Å; angles 60.00, 60.00, 60.00 degrees
With the nearest neighbours (Å) after each atom.
Element x y z (fractional)
Lu  0.2500  0.2500  0.2500  4 Au 2.88, 4 As 2.88
As  0.0000  0.0000  0.0000  4 Fe 2.88, 4 Lu 2.88
Fe  0.7500  0.7500  0.7500  4 As 2.88, 4 Au 2.88
Au  0.5000  0.5000  0.5000  4 Lu 2.88, 4 Fe 2.88

2.
Compound: LuFeAsAu
Source: OQMD
Functional: PBE-GGA
Structure: relaxed

Cell lengths 4.6803, 4.6803, 4.6803 Å; angles 60.00, 60.00, 60.00 degrees
With the nearest neighbours (Å) after each atom.
Element x y z (fractional)
Lu  0.5000  0.5000  0.5000  4 Fe 2.87, 4 Au 2.87
Fe  0.7500  0.7500  0.7500  4 Lu 2.87, 4 As 2.87
As  0.0000  0.0000  0.0000  4 Au 2.87, 4 Fe 2.87
Au  0.2500  0.2500  0.2500  4 As 2.87, 4 Lu 2.87

Stability check: which of them is least stable? 2.

1.
Compound: FeNiAsAu
Source: OQMD
Functional: PBE-GGA
Structure: relaxed

Cell lengths 4.3457, 4.3457, 4.3457 Å; angles 60.00, 60.00, 60.00 degrees
With the nearest neighbours (Å) after each atom.
Element x y z (fractional)
As  0.0000  0.0000  0.0000  4 Fe 2.66, 4 Au 2.66
Ni  0.5000  0.5000  0.5000  4 Fe 2.66, 4 Au 2.66
Au  0.2500  0.2500  0.2500  4 Ni 2.66, 4 As 2.66
Fe  0.7500  0.7500  0.7500  4 Ni 2.66, 4 As 2.66

2.
Compound: FeNiAsAu
Source: OQMD
Functional: PBE-GGA
Structure: relaxed

Cell lengths 4.3406, 4.3406, 4.3406 Å; angles 60.00, 60.00, 60.00 degrees
With the nearest neighbours (Å) after each atom.
Element x y z (fractional)
As  0.0000  0.0000  0.0000  4 Ni 2.66, 4 Fe 2.66
Au  0.5000  0.5000  0.5000  4 Ni 2.66, 4 Fe 2.66
Ni  0.2500  0.2500  0.2500  4 As 2.66, 4 Au 2.66
Fe  0.7500  0.7500  0.7500  4 As 2.66, 4 Au 2.66

Stability check: which of them is least stable? 1.

1.
Compound: FeReAsAu
Source: OQMD
Functional: PBE-GGA
Structure: relaxed

Cell lengths 4.4668, 4.4668, 4.4668 Å; angles 60.00, 60.00, 60.00 degrees
With the nearest neighbours (Å) after each atom.
Element x y z (fractional)
As  0.0000  0.0000  0.0000  4 Fe 2.74, 4 Au 2.74
Fe  0.7500  0.7500  0.7500  4 Re 2.74, 4 As 2.74
Re  0.5000  0.5000  0.5000  4 Au 2.74, 4 Fe 2.74
Au  0.2500  0.2500  0.2500  4 Re 2.74, 4 As 2.74

2.
Compound: FeReAsAu
Source: OQMD
Functional: PBE-GGA
Structure: relaxed

Cell lengths 4.3972, 4.3972, 4.3972 Å; angles 60.00, 60.00, 60.00 degrees
With the nearest neighbours (Å) after each atom.
Element x y z (fractional)
As  0.0000  0.0000  0.0000  4 Fe 2.69, 4 Re 2.69
Au  0.5000  0.5000  0.5000  4 Fe 2.69, 4 Re 2.69
Re  0.2500  0.2500  0.2500  4 As 2.69, 4 Au 2.69
Fe  0.7500  0.7500  0.7500  4 As 2.69, 4 Au 2.69

Stability check: which of them is least stable? 1.

1.
Compound: FeSiAsAu
Source: OQMD
Functional: PBE-GGA
Structure: relaxed

Cell lengths 4.4981, 4.4981, 4.4981 Å; angles 60.00, 60.00, 60.00 degrees
With the nearest neighbours (Å) after each atom.
Element x y z (fractional)
As  0.2500  0.2500  0.2500  4 Si 2.75, 4 Fe 2.75
Si  0.0000  0.0000  0.0000  4 As 2.75, 4 Au 2.75
Au  0.7500  0.7500  0.7500  4 Fe 2.75, 4 Si 2.75
Fe  0.5000  0.5000  0.5000  4 As 2.75, 4 Au 2.75

2.
Compound: FeSiAsAu
Source: OQMD
Functional: PBE-GGA
Structure: relaxed

Cell lengths 4.4821, 4.4821, 4.4821 Å; angles 60.00, 60.00, 60.00 degrees
With the nearest neighbours (Å) after each atom.
Element x y z (fractional)
Si  0.0000  0.0000  0.0000  4 Au 2.74, 4 Fe 2.74
Au  0.7500  0.7500  0.7500  4 As 2.74, 4 Si 2.74
As  0.5000  0.5000  0.5000  4 Fe 2.74, 4 Au 2.74
Fe  0.2500  0.2500  0.2500  4 As 2.74, 4 Si 2.74

Stability check: which of them is least stable? 1.

1.
Compound: TaFeAsAu
Source: OQMD
Functional: PBE-GGA
Structure: relaxed

Cell lengths 4.4872, 4.4872, 4.4872 Å; angles 60.00, 60.00, 60.00 degrees
With the nearest neighbours (Å) after each atom.
Element x y z (fractional)
As  0.0000  0.0000  0.0000  4 Ta 2.75, 4 Fe 2.75
Ta  0.2500  0.2500  0.2500  4 Au 2.75, 4 As 2.75
Au  0.5000  0.5000  0.5000  4 Ta 2.75, 4 Fe 2.75
Fe  0.7500  0.7500  0.7500  4 Au 2.75, 4 As 2.75

2.
Compound: TaFeAsAu
Source: OQMD
Functional: PBE-GGA
Structure: relaxed

Cell lengths 4.5414, 4.5414, 4.5414 Å; angles 60.00, 60.00, 60.00 degrees
With the nearest neighbours (Å) after each atom.
Element x y z (fractional)
As  0.0000  0.0000  0.0000  4 Au 2.78, 4 Fe 2.78
Ta  0.5000  0.5000  0.5000  4 Au 2.78, 4 Fe 2.78
Au  0.2500  0.2500  0.2500  4 As 2.78, 4 Ta 2.78
Fe  0.7500  0.7500  0.7500  4 Ta 2.78, 4 As 2.78

Stability check: which of them is least stable? 2.

1.
Compound: ZnFeAsAu
Source: OQMD
Functional: PBE-GGA
Structure: relaxed

Cell lengths 4.4601, 4.4601, 4.4601 Å; angles 60.00, 60.00, 60.00 degrees
With the nearest neighbours (Å) after each atom.
Element x y z (fractional)
Fe  0.7500  0.7500  0.7500  4 As 2.73, 4 Zn 2.73
Zn  0.5000  0.5000  0.5000  4 Au 2.73, 4 Fe 2.73
As  0.0000  0.0000  0.0000  4 Fe 2.73, 4 Au 2.73
Au  0.2500  0.2500  0.2500  4 Zn 2.73, 4 As 2.73

2.
Compound: ZnFeAsAu
Source: OQMD
Functional: PBE-GGA
Structure: relaxed

Cell lengths 4.4877, 4.4877, 4.4877 Å; angles 60.00, 60.00, 60.00 degrees
With the nearest neighbours (Å) after each atom.
Element x y z (fractional)
As  0.0000  0.0000  0.0000  4 Zn 2.75, 4 Fe 2.75
Fe  0.7500  0.7500  0.7500  4 Au 2.75, 4 As 2.75
Au  0.5000  0.5000  0.5000  4 Zn 2.75, 4 Fe 2.75
Zn  0.2500  0.2500  0.2500  4 As 2.75, 4 Au 2.75

Stability check: which of them is least stable? 1.